Entry 1:
An optimized crystal structure of Pm2LuZr, computed with PBE.

Output
Space group: No. 166
ΔE_f, eV per atom: 0.12
Relative energy among the computed polymorphs, meV per atom: 8

Geometry as POSCAR:
```
Pm2LuZr
1.0
-2.690 1.896 1.106
-2.597 0.764 -2.175
-7.158 -8.584 2.761
Lu Zr Pm
1 1 2
Cartesian
-6.222 -2.962 0.846
0.000 0.000 0.000
-9.396 -4.553 1.306
-3.048 -1.371 0.387
```



Entry 2:
An optimized crystal structure of Pm2LuZr, computed with PBE.

Output
Space group: No. 123
ΔE_f, eV per atom: 0.16
Relative energy among the computed polymorphs, meV per atom: 55

Geometry as POSCAR:
```
Pm2LuZr
1.0
-1.495 3.613 1.074
0.839 -0.807 3.884
6.540 2.944 -0.801
Pm Zr Lu
2 1 1
Cartesian
1.771 0.797 -0.217
4.769 2.147 -0.584
2.942 2.875 2.078
-0.328 1.403 2.479
```



Entry 3:
An optimized crystal structure of Pm2LuZr, computed with PBE.

Output
Space group: No. 123
ΔE_f, eV per atom: 0.11
Relative energy among the computed polymorphs, meV per atom: 0

Geometry as POSCAR:
```
Pm2LuZr
1.0
4.894 0.000 0.000
0.000 4.909 0.000
0.000 0.000 4.909
Pm Zr Lu
2 1 1
Cartesian
0.000 2.454 0.000
0.000 0.000 2.454
2.447 0.000 0.000
2.447 2.454 2.454
```



Entry 4:
An optimized crystal structure of PmLuZr2, computed with PBE.

Output
Space group: No. 123
ΔE_f, eV per atom: 0.22
Relative energy among the computed polymorphs, meV per atom: 85

Geometry as POSCAR:
```
PmLuZr2
1.0
3.921 0.000 0.000
0.000 3.921 0.000
0.000 0.000 6.956
Zr Pm Lu
2 1 1
Cartesian
0.000 0.000 5.402
0.000 0.000 1.554
1.961 1.961 3.478
1.961 1.961 0.000
```



Entry 5:
An optimized crystal structure of PmLuZr, computed with PBE.

Output
Space group: No. 107
ΔE_f, eV per atom: 0.09

Geometry as POSCAR:
```
PmLuZr
1.0
-2.115 -0.856 2.501
1.873 -2.746 0.643
4.223 5.726 3.240
Lu Pm Zr
1 1 1
Cartesian
1.351 -0.393 3.299
3.915 2.061 6.307
2.695 2.579 3.162
```



Entry 6:
An optimized crystal structure of PmLuZr2, computed with PBE.

Output
Space group: No. 123
ΔE_f, eV per atom: 0.13
Relative energy among the computed polymorphs, meV per atom: 0

Geometry as POSCAR:
```
PmLuZr2
1.0
4.770 0.000 0.000
0.000 4.725 0.000
0.000 0.000 4.725
Zr Lu Pm
2 1 1
Cartesian
0.000 2.363 0.000
0.000 0.000 2.363
2.385 0.000 0.000
2.385 2.363 2.363
```



Entry 7:
An optimized crystal structure of PrLu, computed with PBE.

Output
Space group: No. 221
ΔE_f, eV per atom: 0.07
Relative energy among the computed polymorphs, meV per atom: 51

Geometry as POSCAR:
```
PrLu
1.0
4.036 0.000 0.000
0.000 4.036 0.000
0.000 0.000 4.036
Lu Pr
1 1
Cartesian
0.000 0.000 0.000
2.018 2.018 2.018
```



Entry 8:
An optimized crystal structure of PrLu3, computed with PBE.

Output
Space group: No. 221
ΔE_f, eV per atom: 0.04
Relative energy among the computed polymorphs, meV per atom: 25

Geometry as POSCAR:
```
PrLu3
1.0
-0.051 0.224 4.980
-1.600 -4.717 0.195
4.721 -1.596 0.120
Pr Lu
1 3
Cartesian
0.000 0.000 0.000
-0.826 -2.247 2.588
2.335 -0.686 2.550
1.561 -3.157 0.158
```



Entry 9:
An optimized crystal structure of PrLu3, computed with PBE.

Output
Space group: No. 25
ΔE_f, eV per atom: 0.03
Relative energy among the computed polymorphs, meV per atom: 12

Geometry as POSCAR:
```
PrLu3
1.0
3.594 0.000 0.000
0.000 5.605 0.000
0.000 0.000 6.206
Lu Pr
3 1
Cartesian
0.000 0.000 6.186
1.797 2.803 5.163
1.797 0.000 3.122
0.000 2.803 2.078
```



Entry 10:
An optimized crystal structure of PrLu3, computed with PBE.

Output
Space group: No. 139
ΔE_f, eV per atom: 0.04
Relative energy among the computed polymorphs, meV per atom: 26

Geometry as POSCAR:
```
PrLu3
1.0
5.023 0.000 0.000
0.000 5.023 0.000
-2.511 -2.511 4.913
Pr Lu
1 3
Cartesian
0.000 0.000 0.000
2.511 0.000 2.456
2.511 2.511 0.000
0.000 2.511 2.456
```



Entry 11:
An optimized crystal structure of PrLu5, computed with PBE.

Output
Space group: No. 65
ΔE_f, eV per atom: 0.04

Geometry as POSCAR:
```
PrLu5
1.0
4.957 0.000 0.000
0.000 4.956 0.000
0.000 -2.478 7.429
Lu Pr
5 1
Cartesian
2.479 2.478 4.935
2.479 0.000 2.494
0.000 2.478 2.505
2.479 2.478 0.000
0.000 0.000 4.924
0.000 0.000 0.000
```



Entry 12:
An optimized crystal structure of PrLu2, computed with PBE.

Output
Space group: No. 139
ΔE_f, eV per atom: 0.04
Relative energy among the computed polymorphs, meV per atom: 0

Geometry as POSCAR:
```
PrLu2
1.0
3.542 0.000 0.000
0.000 3.542 0.000
-1.771 -1.771 7.562
Pr Lu
1 2
Cartesian
0.000 0.000 0.000
1.771 1.771 2.571
0.000 0.000 4.991
```